Computed, not measured: a relaxed PrGd2Al crystal at the PBE level of DFT.

Crystal system: tetragonal
Energy relative to the lowest polymorph listed for this composition, eV/f.u.: 0.01
Density of states at the Fermi level, states/eV/f.u.: 4.284
Formation energy from the elements, eV per atom: -0.185
Space group: No. 123
V, Å³/cell: 114
E_tot, eV/atom: -9.3555
Magnetic moment, μB/cell: 15.124

Unit cell a=4.864 b=4.839 c=4.839 alpha=90.00 beta=90.00 gamma=90.00
Atoms (fractional coordinates):
Pr: 0.500 0.500 0.500
Gd: 0.000 0.000 0.500
Gd: 0.000 0.500 0.000
Al: 0.500 0.000 0.000